# 1
The following is a PBE calculation of a geometry-optimized PmIn2PtO8 structure, from Alexandria.

Geometry as POSCAR:
```
PmIn2PtO8
1.0
4.977 -0.036 -0.003
-0.009 4.866 -0.005
0.004 0.007 6.828
Pt Pm O In
1 1 8 2
Cartesian
0.000 0.000 0.000 Pt
0.002 0.004 3.414 Pm
4.132 0.994 5.371 O
0.839 3.842 1.449 O
3.273 3.375 3.408 O
3.455 3.550 6.822 O
4.130 0.990 1.450 O
0.842 3.847 5.370 O
1.699 1.461 3.411 O
1.516 1.286 -0.002 O
2.485 2.416 1.638 In
2.487 2.420 5.181 In
```

SG: P2/m (10)
Spin magnetization: 2.2 μB per formula unit
Total DFT energy (no corrections): -5.95 eV/atom

---

# 2
The following is a PBE calculation of a geometry-optimized HgO4 structure, from Alexandria.

Geometry as POSCAR:
```
HgO4
1.0
-0.903 -4.315 -2.247
5.746 3.232 -0.035
-0.976 -5.049 6.233
O Hg
8 2
Cartesian
3.460 1.336 -0.382 O
2.642 -1.088 2.889 O
1.109 -4.456 1.486 O
3.283 0.190 -0.818 O
4.238 -3.686 1.453 O
3.925 -3.092 0.398 O
0.693 -2.022 -0.697 O
-0.838 -5.967 4.880 O
1.585 -1.506 1.128 Hg
0.214 -5.320 3.183 Hg
```

SG: P1 (1)
Spin magnetization: 2.0 μB per formula unit
Total DFT energy (no corrections): -3.92 eV/atom

---

# 3
The following is a PBE calculation of a geometry-optimized Nb2V8Fe structure, from Alexandria.

Geometry as POSCAR:
```
Nb2V8Fe
1.0
4.814 0.355 0.820
0.890 6.131 3.724
0.645 2.237 6.843
V Nb Fe
8 2 1
Cartesian
1.146 4.888 6.193 V
3.539 6.068 5.856 V
3.417 4.123 7.413 V
2.931 4.599 3.974 V
2.138 2.294 3.031 V
4.210 6.428 8.355 V
2.809 2.654 5.531 V
5.203 3.834 5.194 V
4.691 1.995 2.859 Nb
1.658 6.727 8.528 Nb
0.000 0.000 0.000 Fe
```

SG: C2/m (12)
Spin magnetization: 0.7 μB per formula unit
Total DFT energy (no corrections): -9.06 eV/atom

---

# 4
The following is a PBE calculation of a geometry-optimized PrY2Ho6Tm3 structure, from Alexandria.

Geometry as POSCAR:
```
PrY2Ho6Tm3
1.0
6.125 0.002 0.013
-3.059 5.306 0.013
-1.041 -1.802 11.548
Ho Tm Y Pr
6 3 2 1
Cartesian
-0.015 3.509 8.634 Ho
-0.016 -0.027 8.621 Ho
2.041 3.534 2.952 Ho
2.040 -0.003 2.939 Ho
3.047 1.741 8.634 Ho
-1.022 1.766 2.939 Ho
-2.045 3.519 5.787 Tm
1.013 1.753 5.787 Tm
4.070 -0.013 5.787 Tm
0.003 3.538 0.013 Y
3.063 1.771 0.013 Y
0.000 0.000 0.000 Pr
```

SG: C2/m (12)
Spin magnetization: 0.0 μB per formula unit
Total DFT energy (no corrections): -4.86 eV/atom

---

# 5
The following is a PBE calculation of a geometry-optimized Li2BeRe structure, from Alexandria.

Geometry as POSCAR:
```
Li2BeRe
1.0
4.441 0.000 0.000
0.000 4.441 0.000
0.000 0.000 2.511
Li Re Be
2 1 1
Cartesian
0.000 0.000 0.000 Li
2.221 2.221 0.000 Li
2.221 0.000 1.256 Re
0.000 2.221 1.256 Be
```

SG: P4/mmm (123)
Spin magnetization: 0.0 μB per formula unit
Total DFT energy (no corrections): -4.34 eV/atom

---

# 6
The following is a PBE calculation of a geometry-optimized Dy7Ho2Tm2 structure, from Alexandria.

Geometry as POSCAR:
```
Dy7Ho2Tm2
1.0
8.478 0.693 1.000
0.195 6.355 0.995
0.195 -1.300 6.300
Tm Dy Ho
2 7 2
Cartesian
4.433 4.218 3.216 Tm
4.433 1.530 5.079 Tm
0.000 0.000 0.000 Dy
1.888 0.075 3.125 Dy
3.811 4.565 6.588 Dy
5.056 1.183 1.707 Dy
6.979 2.848 7.127 Dy
6.979 5.673 5.170 Dy
1.888 2.900 1.168 Dy
7.422 2.588 3.734 Ho
1.445 3.160 4.561 Ho
```

SG: C2/m (12)
Spin magnetization: 0.0 μB per formula unit
E above lowest polymorph: 0 meV/atom

---

# 7
The following is a PBE calculation of a geometry-optimized MnSbTe2 structure, from Alexandria.

Geometry as POSCAR:
```
MnSbTe2
1.0
3.098 0.000 0.000
0.000 3.098 0.000
0.000 0.000 10.772
Te Sb Mn
2 1 1
Cartesian
0.000 0.000 0.033 Te
1.549 1.549 3.764 Te
1.549 1.549 7.081 Sb
0.000 0.000 5.280 Mn
```

SG: P4mm (99)
Spin magnetization: 0.0 μB per formula unit
Total DFT energy (no corrections): -4.74 eV/atom

---

# 8
The following is a PBE calculation of a geometry-optimized PmPr2Zn2Ga2 structure, from Alexandria.

Geometry as POSCAR:
```
PmPr2Zn2Ga2
1.0
4.510 0.000 0.000
2.255 3.906 0.000
2.255 1.302 9.676
Pr Ga Pm Zn
2 2 1 2
Cartesian
6.766 3.906 3.658 Pr
2.255 1.302 6.018 Pr
2.255 1.302 1.911 Ga
6.766 3.906 7.765 Ga
0.000 0.000 0.000 Pm
4.510 2.604 1.810 Zn
4.510 2.604 7.866 Zn
```

SG: R-3m (166)
Spin magnetization: 0.0 μB per formula unit
Total DFT energy (no corrections): -3.68 eV/atom

---

# 9
The following is a PBE calculation of a geometry-optimized Ni2IrOs structure, from Alexandria.

Geometry as POSCAR:
```
Ni2IrOs
1.0
4.196 0.000 0.000
2.098 3.634 0.000
2.098 1.211 3.426
Ni Os Ir
2 1 1
Cartesian
6.294 3.634 2.569 Ni
0.000 0.000 0.000 Ni
2.098 1.211 0.856 Os
4.196 2.423 1.713 Ir
```

SG: F-43m (216)
Spin magnetization: 0.0 μB per formula unit
E above lowest polymorph: 299 meV/atom

---

# 10
The following is a PBE calculation of a geometry-optimized VNiAu structure, from Alexandria.

Geometry as POSCAR:
```
VNiAu
1.0
-0.943 0.452 2.397
-2.125 -3.168 -0.238
7.544 -5.359 3.979
Ni V Au
2 2 2
Cartesian
3.408 -2.421 1.797 Ni
2.602 -4.296 3.261 Ni
4.637 -3.403 3.893 V
1.373 -3.314 1.166 V
6.847 -4.864 3.611 Au
-0.837 -1.853 1.447 Au
```

SG: Pmmn (59)
Spin magnetization: 0.0 μB per formula unit
E above lowest polymorph: 365 meV/atom

---

# 11
The following is a PBE calculation of a geometry-optimized LaTm2Pb structure, from Alexandria.

Geometry as POSCAR:
```
LaTm2Pb
1.0
-1.370 2.115 -2.566
-2.456 -1.301 -2.282
-9.369 3.419 5.308
Tm La Pb
2 1 1
Cartesian
-3.157 1.003 -0.007 Tm
-7.483 2.685 3.694 Tm
-6.600 2.117 0.233 La
-2.553 0.543 -3.230 Pb
```

SG: R3m (160)
Spin magnetization: 0.0 μB per formula unit
E above lowest polymorph: 214 meV/atom

---

# 12
The following is a PBE calculation of a geometry-optimized CrS structure, from Alexandria.

Geometry as POSCAR:
```
CrS
1.0
-5.493 -4.267 -1.151
2.592 -3.714 1.396
-2.480 1.135 7.625
S Cr
8 8
Cartesian
-2.057 -2.791 4.626 S
-5.800 -1.716 6.390 S
0.329 -2.336 1.034 S
-5.009 -4.471 5.242 S
-0.383 -3.568 7.100 S
-2.978 -4.573 1.618 S
-2.392 -1.080 1.777 S
-3.233 -6.849 3.688 S
-3.229 -4.602 3.858 Cr
-1.544 -1.905 -0.142 Cr
-1.458 -3.142 2.439 Cr
-3.992 -6.622 5.842 Cr
-1.347 -1.493 6.530 Cr
0.105 -3.354 4.910 Cr
-6.094 -3.830 7.111 Cr
-3.965 -2.436 0.928 Cr
```

SG: P2_12_12_1 (19)
Spin magnetization: 2.0 μB per formula unit
Total DFT energy (no corrections): -7.16 eV/atom